(1)
First-principles (PBE) data for an optimized crystal structure of HgSbPb2, as listed in the Alexandria database.

Structure (CIF):
```
data_HgSbPb2
_chemical_formula_sum 'Hg1 Sb1 Pb2'
_cell_length_a 5.2151
_cell_length_b 5.2151
_cell_length_c 5.5975
_cell_angle_alpha 116.63
_cell_angle_beta 116.63
_cell_angle_gamma 90.23
_symmetry_space_group_name_H-M 'P 1'
_symmetry_Int_Tables_number 1
loop_
_symmetry_equiv_pos_as_xyz
'x,y,z'
loop_
_atom_site_label
_atom_site_fract_x
_atom_site_fract_y
_atom_site_fract_z
Hg1 0.0000 0.0000 0.0000
Sb1 0.5000 0.5000 0.0000
Pb1 0.2467 0.7533 0.5000
Pb2 0.7533 0.2467 0.5000
```

The polymorph energy (0 for the lowest one) comes out at 0.0075 eV/atom. The value obtained for the mass density is 10.41 g/cm3. The energy relative to the elements, uncorrected is 28 meV/atom. The total moment is 0.00 μB per formula unit.

(2)
First-principles (PBE) data for an optimized crystal structure of HgSb2Pb, as listed in the Alexandria database.

Structure (CIF):
```
data_HgSb2Pb
_chemical_formula_sum 'Hg1 Sb2 Pb1'
_cell_length_a 5.4286
_cell_length_b 5.4286
_cell_length_c 5.4286
_cell_angle_alpha 60.00
_cell_angle_beta 60.00
_cell_angle_gamma 60.00
_symmetry_space_group_name_H-M 'P 1'
_symmetry_Int_Tables_number 1
loop_
_symmetry_equiv_pos_as_xyz
'x,y,z'
loop_
_atom_site_label
_atom_site_fract_x
_atom_site_fract_y
_atom_site_fract_z
Hg1 0.0000 0.0000 0.0000
Sb1 0.2500 0.2500 0.2500
Sb2 0.7500 0.7500 0.7500
Pb1 0.5000 0.5000 0.5000
```

The polymorph energy (0 for the lowest one) comes out at 0.0925 eV/atom. The value obtained for the mass density is 9.56 g/cm3. The energy relative to the elements, uncorrected is 178 meV/atom. The total moment is 0.00 μB per formula unit.

(3)
First-principles (PBE) data for an optimized crystal structure of HgSbPb2, as listed in the Alexandria database.

Structure (CIF):
```
data_HgSbPb2
_chemical_formula_sum 'Hg1 Sb1 Pb2'
_cell_length_a 6.1641
_cell_length_b 6.1641
_cell_length_c 5.9585
_cell_angle_alpha 104.05
_cell_angle_beta 104.05
_cell_angle_gamma 32.49
_symmetry_space_group_name_H-M 'P 1'
_symmetry_Int_Tables_number 1
loop_
_symmetry_equiv_pos_as_xyz
'x,y,z'
loop_
_atom_site_label
_atom_site_fract_x
_atom_site_fract_y
_atom_site_fract_z
Hg1 0.0000 0.0000 0.0000
Sb1 0.2639 0.2639 0.6773
Pb1 0.5117 0.5117 0.5054
Pb2 0.7509 0.7509 0.1666
```

The polymorph energy (0 for the lowest one) comes out at 0.0314 eV/atom. The value obtained for the mass density is 10.40 g/cm3. The energy relative to the elements, uncorrected is 52 meV/atom. The total moment is 0.00 μB per formula unit.

(4)
First-principles (PBE) data for an optimized crystal structure of Hg11SbPb17, as listed in the Alexandria database.

Structure (CIF):
```
data_Hg11SbPb17
_chemical_formula_sum 'Hg11 Sb1 Pb17'
_cell_length_a 10.0541
_cell_length_b 10.0541
_cell_length_c 9.8261
_cell_angle_alpha 106.03
_cell_angle_beta 106.03
_cell_angle_gamma 105.42
_symmetry_space_group_name_H-M 'P 1'
_symmetry_Int_Tables_number 1
loop_
_symmetry_equiv_pos_as_xyz
'x,y,z'
loop_
_atom_site_label
_atom_site_fract_x
_atom_site_fract_y
_atom_site_fract_z
Hg1 0.0000 0.0000 0.0000
Hg2 0.0233 0.2122 0.8402
Hg3 0.2122 0.0233 0.8402
Hg4 0.2128 0.5579 0.0212
Hg5 0.3769 0.5684 0.5813
Hg6 0.3897 0.7743 0.3957
Hg7 0.5579 0.2128 0.0212
Hg8 0.5684 0.3769 0.5813
Hg9 0.5814 0.7755 0.2008
Hg10 0.7743 0.3897 0.3957
Hg11 0.7755 0.5814 0.2008
Sb1 0.1803 0.1803 0.3480
Pb1 0.0539 0.4136 0.2244
Pb2 0.0735 0.3679 0.6086
Pb3 0.0800 0.7933 0.1935
Pb4 0.1030 0.7036 0.5229
Pb5 0.3679 0.0735 0.6086
Pb6 0.3763 0.7947 0.8852
Pb7 0.4099 0.4099 0.2340
Pb8 0.4136 0.0539 0.2244
Pb9 0.4196 0.4196 0.8673
Pb10 0.6567 0.9858 0.7986
Pb11 0.7036 0.1030 0.5229
Pb12 0.7067 0.7067 0.9151
Pb13 0.7082 0.7082 0.5292
Pb14 0.7933 0.0800 0.1935
Pb15 0.7947 0.3763 0.8852
Pb16 0.9734 0.9734 0.4758
Pb17 0.9858 0.6567 0.7986
```

The value obtained for the mass density is 11.40 g/cm3. The energy relative to the elements, uncorrected is 40 meV/atom. The total moment is 0.00 μB per formula unit.

(5)
First-principles (PBE) data for an optimized crystal structure of Hg2SbPb, as listed in the Alexandria database.

Structure (CIF):
```
data_Hg2SbPb
_chemical_formula_sum 'Hg2 Sb1 Pb1'
_cell_length_a 6.2357
_cell_length_b 6.2357
_cell_length_c 6.2357
_cell_angle_alpha 137.31
_cell_angle_beta 137.31
_cell_angle_gamma 61.96
_symmetry_space_group_name_H-M 'P 1'
_symmetry_Int_Tables_number 1
loop_
_symmetry_equiv_pos_as_xyz
'x,y,z'
loop_
_atom_site_label
_atom_site_fract_x
_atom_site_fract_y
_atom_site_fract_z
Hg1 0.0000 0.0000 0.0000
Hg2 0.7500 0.2500 0.5000
Sb1 0.5000 0.5000 0.0000
Pb1 0.2500 0.7500 0.5000
```

The value obtained for the mass density is 11.01 g/cm3. The energy relative to the elements, uncorrected is 90 meV/atom. The total moment is 0.00 μB per formula unit.

(6)
First-principles (PBE) data for an optimized crystal structure of Hg2SbPb, as listed in the Alexandria database.

Structure (CIF):
```
data_Hg2SbPb
_chemical_formula_sum 'Hg2 Sb1 Pb1'
_cell_length_a 3.4594
_cell_length_b 5.3782
_cell_length_c 6.0142
_cell_angle_alpha 90.00
_cell_angle_beta 93.10
_cell_angle_gamma 90.00
_symmetry_space_group_name_H-M 'P 1'
_symmetry_Int_Tables_number 1
loop_
_symmetry_equiv_pos_as_xyz
'x,y,z'
loop_
_atom_site_label
_atom_site_fract_x
_atom_site_fract_y
_atom_site_fract_z
Hg1 0.1903 0.0000 0.2511
Hg2 0.8097 0.0000 0.7489
Sb1 0.0000 0.5000 0.5000
Pb1 0.5000 0.5000 0.0000
```

The value obtained for the mass density is 10.85 g/cm3. The energy relative to the elements, uncorrected is 73 meV/atom. The total moment is 0.00 μB per formula unit.

(7)
First-principles (PBE) data for an optimized crystal structure of HgSb2Pb, as listed in the Alexandria database.

Structure (CIF):
```
data_HgSb2Pb
_chemical_formula_sum 'Hg1 Sb2 Pb1'
_cell_length_a 4.2429
_cell_length_b 4.8039
_cell_length_c 5.6204
_cell_angle_alpha 90.00
_cell_angle_beta 90.00
_cell_angle_gamma 90.00
_symmetry_space_group_name_H-M 'P 1'
_symmetry_Int_Tables_number 1
loop_
_symmetry_equiv_pos_as_xyz
'x,y,z'
loop_
_atom_site_label
_atom_site_fract_x
_atom_site_fract_y
_atom_site_fract_z
Hg1 0.0000 0.0000 0.0000
Sb1 0.0000 0.5000 0.5000
Sb2 0.5000 0.0000 0.5000
Pb1 0.5000 0.5000 0.0000
```

The polymorph energy (0 for the lowest one) comes out at 0.0322 eV/atom. The value obtained for the mass density is 9.44 g/cm3. The energy relative to the elements, uncorrected is 118 meV/atom. The total moment is 0.00 μB per formula unit.

(8)
First-principles (PBE) data for an optimized crystal structure of Hg2SbPb, as listed in the Alexandria database.

Structure (CIF):
```
data_Hg2SbPb
_chemical_formula_sum 'Hg2 Sb1 Pb1'
_cell_length_a 6.7761
_cell_length_b 6.7761
_cell_length_c 6.7761
_cell_angle_alpha 150.48
_cell_angle_beta 132.10
_cell_angle_gamma 57.28
_symmetry_space_group_name_H-M 'P 1'
_symmetry_Int_Tables_number 1
loop_
_symmetry_equiv_pos_as_xyz
'x,y,z'
loop_
_atom_site_label
_atom_site_fract_x
_atom_site_fract_y
_atom_site_fract_z
Hg1 0.0000 0.0000 0.0000
Hg2 0.7419 0.2419 0.5000
Sb1 0.4919 0.4919 0.0000
Pb1 0.2610 0.7610 0.5000
```

The value obtained for the mass density is 10.73 g/cm3. The energy relative to the elements, uncorrected is 101 meV/atom. The total moment is 0.00 μB per formula unit.